The following is a DFT calculation (PBE with a Hubbard U) of an optimized crystal structure of Ac2CoGeO6.

The structure belongs to space group P4/mmm (No. 123); the cell edges are 5.676, 5.676 and 3.918 Å and the angles 90.00°, 90.00° and 90.00°. The distinct sites, in fractional coordinates, are Ac at (0.000, 0.500, 0.000), Co at (0.000, 0.000, 0.500), Ge at (0.500, 0.500, 0.500), O at (0.000, 0.000, 0.000), O at (0.265, 0.265, 0.500) and O at (0.500, 0.500, 0.000).

Its total energy is -71.633 eV/f.u.